# 1
# PBE ZnBO, optimized geometry
# calculated volume	122.2	Å³ per cell
# raw formation energy	-16.37	kcal/mol of atoms
# total DFT energy (no corrections)	-5.01	eV/atom
# Fermi-level density of states	0.5	states/eV/f.u.
# total moment	0.00	μB per atom
data_ZnBO
_cell_length_a 4.432
_cell_length_b 2.460
_cell_length_c 11.212
_cell_angle_alpha 90.00
_cell_angle_beta 91.68
_cell_angle_gamma 90.00
_symmetry_space_group_name_H-M 'C 1 2/m 1'
_symmetry_Int_Tables_number 12
loop_
_symmetry_equiv_pos_as_xyz
'x,y,z'
'-x,-y,-z'
'-x,y,-z'
'x,-y,z'
'x+1/2,y+1/2,z'
'-x+1/2,-y+1/2,-z'
'-x+1/2,y+1/2,-z'
'x+1/2,-y+1/2,z'
loop_
_atom_site_label
_atom_site_fract_x
_atom_site_fract_y
_atom_site_fract_z
Zn1 0.144 0.000 0.396
B1 0.189 0.500 0.206
O1 0.146 0.500 0.844

***

# 2
# PBE Zr2ZnBO, optimized geometry
# calculated volume	87.4	Å³ per cell
# raw formation energy	13.47	kcal/mol of atoms
# total DFT energy (no corrections)	-5.42	eV/atom
# Fermi-level density of states	4.0	states/eV/f.u.
# total moment	0.00	μB per atom
data_Zr2ZnBO
_cell_length_a 4.953
_cell_length_b 4.953
_cell_length_c 3.562
_cell_angle_alpha 90.00
_cell_angle_beta 90.00
_cell_angle_gamma 90.00
_symmetry_space_group_name_H-M 'P 4/m m m'
_symmetry_Int_Tables_number 123
_symmetry_space_group_name_Hall '-P 4 2'
loop_
_atom_site_label
_atom_site_fract_x
_atom_site_fract_y
_atom_site_fract_z
Zr1 0.000 0.500 0.000
Zn1 0.000 0.000 0.000
B1 0.000 0.000 0.500
O1 0.500 0.500 0.500

***

# 3
# PBE Zr3BO, optimized geometry
# calculated volume	81.3	Å³ per cell
# energy above the lowest structure with this stoichiometry	0.0	meV/atom
# raw formation energy	-13.27	kcal/mol of atoms
# total DFT energy (no corrections)	-8.03	eV/atom
# Fermi-level density of states	4.8	states/eV/f.u.
# total moment	0.00	μB per atom
data_Zr3BO
_cell_length_a 4.332
_cell_length_b 4.332
_cell_length_c 4.332
_cell_angle_alpha 90.00
_cell_angle_beta 90.00
_cell_angle_gamma 90.00
_symmetry_space_group_name_H-M 'P m -3 m'
_symmetry_Int_Tables_number 221
_symmetry_space_group_name_Hall '-P 4 2 3'
loop_
_atom_site_label
_atom_site_fract_x
_atom_site_fract_y
_atom_site_fract_z
Zr1 0.000 0.000 0.500
B1 0.500 0.500 0.500
O1 0.000 0.000 0.000

***

# 4
# PBE Zr2BO, optimized geometry
# calculated volume	268.7	Å³ per cell
# energy above the lowest structure with this stoichiometry	245.3	meV/atom
# raw formation energy	-27.39	kcal/mol of atoms
# total DFT energy (no corrections)	-8.37	eV/atom
# Fermi-level density of states	1.9	states/eV/f.u.
# total moment	0.00	μB per atom
data_Zr2BO
_cell_length_a 5.038
_cell_length_b 5.038
_cell_length_c 10.584
_cell_angle_alpha 90.00
_cell_angle_beta 90.00
_cell_angle_gamma 90.00
_symmetry_space_group_name_H-M 'I -4 2 d'
_symmetry_Int_Tables_number 122
_symmetry_space_group_name_Hall 'I -4 2bw'
loop_
_atom_site_label
_atom_site_fract_x
_atom_site_fract_y
_atom_site_fract_z
Zr1 0.234 0.250 0.125
B1 0.000 0.000 0.500
O1 0.000 0.000 0.000

***

What did the first record say?
# PBE ZnBO, optimized geometry
# calculated volume	122.2	Å³ per cell
# raw formation energy	-16.37	kcal/mol of atoms
# total DFT energy (no corrections)	-5.01	eV/atom
# Fermi-level density of states	0.5	states/eV/f.u.
# total moment	0.00	μB per atom
data_ZnBO
_cell_length_a 4.432
_cell_length_b 2.460
_cell_length_c 11.212
_cell_angle_alpha 90.00
_cell_angle_beta 91.68
_cell_angle_gamma 90.00
_symmetry_space_group_name_H-M 'C 1 2/m 1'
_symmetry_Int_Tables_number 12
loop_
_symmetry_equiv_pos_as_xyz
'x,y,z'
'-x,-y,-z'
'-x,y,-z'
'x,-y,z'
'x+1/2,y+1/2,z'
'-x+1/2,-y+1/2,-z'
'-x+1/2,y+1/2,-z'
'x+1/2,-y+1/2,z'
loop_
_atom_site_label
_atom_site_fract_x
_atom_site_fract_y
_atom_site_fract_z
Zn1 0.144 0.000 0.396
B1 0.189 0.500 0.206
O1 0.146 0.500 0.844